(1)
Here is a relaxed CdCu2SiTeS3 crystal from OQMD. Energies are from PBE.

Properties
final energy	-4.06	eV/atom
volume	171	Å³/cell
mass density	4.76	g/cm3
space group	Cm, No. 8

Cell and atoms, written as POSCAR:
```
CdCu2SiTeS3
1.0
4.0094 -3.9681 0.0000
4.0094 3.9681 0.0000
-3.8413 0.0000 5.3890
Cd Cu S Si Te
1 2 3 1 1
Direct
0.9915 0.9915 0.0186
0.7112 0.2609 0.4775
0.2609 0.7112 0.4775
0.8541 0.4194 0.2645
0.4194 0.8541 0.2645
0.6002 0.6002 0.7519
0.5236 0.5236 0.0172
0.1391 0.1391 0.7283
```



(2)
Here is a relaxed CuSnPd2 crystal from OQMD. Energies are from PBE.

Properties
final energy	-4.82	eV/atom
volume	64	Å³/cell
mass density	10.29	g/cm3
space group	F-43m, No. 216

Cell and atoms, written as POSCAR:
```
CuSnPd2
1.0
3.3504 -2.9547 0.3883
-0.8049 -4.3819 -0.5080
1.5219 -2.1534 -3.6267
Cu Pd Sn
1 2 1
Direct
0.2500 0.2500 0.2500
0.0000 0.0000 0.0000
0.7500 0.7500 0.7500
0.5000 0.5000 0.5000
```



(3)
Here is a relaxed RbZrFeS3 crystal from OQMD. Energies are from PBE.

Properties
final energy	-6.24	eV/atom
magnetization	0.50	μB per atom
volume	283	Å³/cell
mass density	3.86	g/cm3
space group	P2_1/m, No. 11

Cell and atoms, written as POSCAR:
```
RbZrFeS3
1.0
-6.9269 5.0703 2.0618
-1.5723 -0.8190 -3.2685
-0.9272 -8.9864 2.6977
Fe Rb S Zr
2 2 6 2
Direct
0.4308 0.2500 0.3999
0.5692 0.7500 0.6001
0.7250 0.7500 0.2524
0.2750 0.2500 0.7476
0.3772 0.2500 0.1409
0.9678 0.2500 0.1464
0.2887 0.7500 0.4557
0.7113 0.2500 0.5443
0.0322 0.7500 0.8536
0.6228 0.7500 0.8591
0.1821 0.7500 0.1601
0.8179 0.2500 0.8399
```



(4)
Here is a relaxed NaZrTe3Au crystal from OQMD. Energies are from PBE.

Properties
final energy	-4.39	eV/atom
magnetization	0.00	μB per atom
volume	665	Å³/cell
mass density	6.94	g/cm3
distance to the lowest polymorph of the same formula	90	meV/atom
space group	Pnma, No. 62

Cell and atoms, written as POSCAR:
```
NaZrTe3Au
1.0
8.5038 0.0000 0.0000
0.0000 4.3373 0.0000
0.0000 0.0000 18.0173
Au Na Te Zr
4 4 12 4
Direct
0.9799 0.7500 0.1744
0.4799 0.7500 0.3256
0.5201 0.2500 0.6744
0.0201 0.2500 0.8256
0.3472 0.2500 0.1923
0.8472 0.2500 0.3077
0.1528 0.7500 0.6923
0.6528 0.7500 0.8077
0.3741 0.7500 0.0504
0.9954 0.2500 0.0751
0.6616 0.7500 0.2018
0.1616 0.7500 0.2982
0.4954 0.2500 0.4249
0.8741 0.7500 0.4496
0.1259 0.2500 0.5504
0.5046 0.7500 0.5751
0.8384 0.2500 0.7018
0.3384 0.2500 0.7982
0.0046 0.7500 0.9249
0.6259 0.2500 0.9496
0.7383 0.7500 0.0478
0.2383 0.7500 0.4522
0.7617 0.2500 0.5478
0.2617 0.2500 0.9522
```



- Which of these has the highest volume?
  NaZrTe3Au



Please write out number 3 again, unchanged.
Here is a relaxed RbZrFeS3 crystal from OQMD. Energies are from PBE.

Properties
final energy	-6.24	eV/atom
magnetization	0.50	μB per atom
volume	283	Å³/cell
mass density	3.86	g/cm3
space group	P2_1/m, No. 11

Cell and atoms, written as POSCAR:
```
RbZrFeS3
1.0
-6.9269 5.0703 2.0618
-1.5723 -0.8190 -3.2685
-0.9272 -8.9864 2.6977
Fe Rb S Zr
2 2 6 2
Direct
0.4308 0.2500 0.3999
0.5692 0.7500 0.6001
0.7250 0.7500 0.2524
0.2750 0.2500 0.7476
0.3772 0.2500 0.1409
0.9678 0.2500 0.1464
0.2887 0.7500 0.4557
0.7113 0.2500 0.5443
0.0322 0.7500 0.8536
0.6228 0.7500 0.8591
0.1821 0.7500 0.1601
0.8179 0.2500 0.8399
```



- Among the records above, which one has the highest mass density?
  CuSnPd2